(1)
The following is a PBE calculation of crystalline Ho3NpPd12 at its relaxed geometry, from the Alexandria database.

Values from the calculation:
The calculation puts the calculated density at 11.9 Mg/m³. The calculation puts the density of states at the Fermi level at 18.10 states/eV/cell. As for the formation energy: -0.79 eV per atom.

Cell: 4.119 4.119 16.456 Å, 90.00 90.00 90.00°
Element x y z (fractional)
Ho: 0.000 0.000 0.000
Ho: 0.000 0.000 0.247
Ho: 0.000 0.000 0.753
Np: 0.000 0.000 0.500
Pd: 0.000 0.500 0.125
Pd: 0.000 0.500 0.377
Pd: 0.000 0.500 0.623
Pd: 0.000 0.500 0.875
Pd: 0.500 0.000 0.125
Pd: 0.500 0.000 0.377
Pd: 0.500 0.000 0.623
Pd: 0.500 0.000 0.875
Pd: 0.500 0.500 0.000
Pd: 0.500 0.500 0.251
Pd: 0.500 0.500 0.500
Pd: 0.500 0.500 0.749

=====

(2)
The following is a PBE calculation of crystalline HoNp2Pd9 at its relaxed geometry, from the Alexandria database.

Values from the calculation:
The calculation puts the calculated density at 12.6 Mg/m³. The calculation puts the density of states at the Fermi level at 25.10 states/eV/cell. As for the formation energy: -0.61 eV per atom.

Cell: 4.127 4.127 12.399 Å, 90.00 90.00 90.00°
Element x y z (fractional)
Ho: 0.000 0.000 0.000
Np: 0.000 0.000 0.332
Np: 0.000 0.000 0.668
Pd: 0.000 0.500 0.167
Pd: 0.000 0.500 0.500
Pd: 0.000 0.500 0.833
Pd: 0.500 0.000 0.167
Pd: 0.500 0.000 0.500
Pd: 0.500 0.000 0.833
Pd: 0.500 0.500 0.000
Pd: 0.500 0.500 0.333
Pd: 0.500 0.500 0.667

=====

(3)
The following is a PBE calculation of crystalline HoNp3Pd12 at its relaxed geometry, from the Alexandria database.

Values from the calculation:
The calculation puts the calculated density at 12.6 Mg/m³. The calculation puts the density of states at the Fermi level at 39.11 states/eV/cell. As for the formation energy: -0.56 eV per atom.

Cell: 4.130 4.130 16.580 Å, 90.00 90.00 90.00°
Element x y z (fractional)
Ho: 0.000 0.000 0.000
Np: 0.000 0.000 0.247
Np: 0.000 0.000 0.500
Np: 0.000 0.000 0.753
Pd: 0.000 0.500 0.125
Pd: 0.000 0.500 0.374
Pd: 0.000 0.500 0.626
Pd: 0.000 0.500 0.875
Pd: 0.500 0.000 0.125
Pd: 0.500 0.000 0.374
Pd: 0.500 0.000 0.626
Pd: 0.500 0.000 0.875
Pd: 0.500 0.500 0.000
Pd: 0.500 0.500 0.249
Pd: 0.500 0.500 0.500
Pd: 0.500 0.500 0.751

=====

(4)
The following is a PBE calculation of crystalline HoNpPd4 at its relaxed geometry, from the Alexandria database.

Values from the calculation:
The calculation puts the calculated density at 12.1 Mg/m³. The calculation puts the density of states at the Fermi level at 14.06 states/eV/cell. As for the formation energy: -0.52 eV per atom.

Cell: 5.438 5.438 5.438 Å, 60.00 60.00 60.00°
Element x y z (fractional)
Ho: 0.000 0.000 0.000
Np: 0.750 0.750 0.750
Pd: 0.375 0.375 0.375
Pd: 0.375 0.375 0.875
Pd: 0.375 0.875 0.375
Pd: 0.875 0.375 0.375

=====

(5)
The following is a PBE calculation of crystalline HoNp2PdS4 at its relaxed geometry, from the Alexandria database.

Values from the calculation:
The calculation puts the calculated density at 9.5 Mg/m³. The calculation puts the density of states at the Fermi level at 10.67 states/eV/cell. The value obtained for the uncorrected formation energy is -1.190 eV per atom.

Cell: 5.833 5.833 5.833 Å, 108.79 108.79 110.84°
Element x y z (fractional)
Ho: 0.000 0.000 0.000
Np: 0.000 0.500 0.500
Np: 0.500 0.000 0.500
Pd: 0.500 0.500 0.000
S: 0.075 0.075 0.581
S: 0.494 0.494 0.419
S: 0.506 0.925 0.000
S: 0.925 0.506 0.000

=====

(6)
The following is a PBE calculation of crystalline HoNp2PdSe5 at its relaxed geometry, from the Alexandria database.

Values from the calculation:
The calculation puts the calculated density at 9.1 Mg/m³. The calculation puts the density of states at the Fermi level at 36.98 states/eV/cell. The value obtained for the uncorrected formation energy is -1.185 eV per atom.

Cell: 8.795 8.795 12.303 Å, 90.00 90.00 154.19°
Element x y z (fractional)
Ho: 0.175 0.825 0.500
Ho: 0.825 0.175 0.000
Np: 0.104 0.896 0.827
Np: 0.122 0.878 0.174
Np: 0.878 0.122 0.674
Np: 0.896 0.104 0.327
Pd: 0.442 0.558 0.897
Pd: 0.558 0.442 0.397
Se: 0.008 0.992 0.503
Se: 0.303 0.697 0.827
Se: 0.307 0.693 0.167
Se: 0.342 0.658 0.497
Se: 0.497 0.503 0.216
Se: 0.503 0.497 0.716
Se: 0.658 0.342 0.997
Se: 0.693 0.307 0.667
Se: 0.697 0.303 0.327
Se: 0.992 0.008 0.003

=====

(7)
The following is a PBE calculation of crystalline PmHoNp2S4 at its relaxed geometry, from the Alexandria database.

Values from the calculation:
The calculation puts the calculated density at 8.8 Mg/m³. The calculation puts the density of states at the Fermi level at 19.28 states/eV/cell. The value obtained for the uncorrected formation energy is -1.671 eV per atom.

Cell: 6.775 3.942 6.859 Å, 90.00 109.66 90.00°
Element x y z (fractional)
Pm: 0.000 0.000 0.000
Ho: 0.000 0.500 0.500
Np: 0.500 0.000 0.500
Np: 0.500 0.500 0.000
S: 0.251 0.000 0.746
S: 0.255 0.500 0.259
S: 0.745 0.500 0.741
S: 0.749 0.000 0.254

=====

(8)
The following is a PBE calculation of crystalline PmHoNp2Se4 at its relaxed geometry, from the Alexandria database.

Values from the calculation:
The calculation puts the calculated density at 9.3 Mg/m³. The calculation puts the density of states at the Fermi level at 18.24 states/eV/cell. The value obtained for the uncorrected formation energy is -1.432 eV per atom.

Cell: 7.120 4.108 7.135 Å, 90.00 109.38 90.00°
Element x y z (fractional)
Pm: 0.000 0.000 0.000
Ho: 0.000 0.500 0.500
Np: 0.500 0.000 0.500
Np: 0.500 0.500 0.000
Se: 0.249 0.000 0.744
Se: 0.254 0.500 0.257
Se: 0.746 0.500 0.743
Se: 0.751 0.000 0.256

=====

(9)
The following is a PBE calculation of crystalline HoNpPt2 at its relaxed geometry, from the Alexandria database.

Values from the calculation:
The calculation puts the calculated density at 15.5 Mg/m³. The calculation puts the density of states at the Fermi level at 8.31 states/eV/cell. As for the formation energy: -0.81 eV per atom.

Cell: 5.004 5.004 3.382 Å, 90.00 90.00 90.00°
Element x y z (fractional)
Ho: 0.000 0.000 0.000
Np: 0.500 0.500 0.000
Pt: 0.000 0.500 0.500
Pt: 0.500 0.000 0.500

=====

(10)
The following is a PBE calculation of crystalline Ho2NpPt9 at its relaxed geometry, from the Alexandria database.

Values from the calculation:
The calculation puts the calculated density at 18.3 Mg/m³. The calculation puts the density of states at the Fermi level at 15.93 states/eV/cell. As for the formation energy: -0.92 eV per atom.

Cell: 4.126 4.126 12.347 Å, 90.00 90.00 90.00°
Element x y z (fractional)
Ho: 0.000 0.000 0.164
Ho: 0.000 0.000 0.836
Np: 0.000 0.000 0.500
Pt: 0.000 0.500 0.000
Pt: 0.000 0.500 0.335
Pt: 0.000 0.500 0.665
Pt: 0.500 0.000 0.000
Pt: 0.500 0.000 0.335
Pt: 0.500 0.000 0.665
Pt: 0.500 0.500 0.166
Pt: 0.500 0.500 0.500
Pt: 0.500 0.500 0.834

=====

(11)
The following is a PBE calculation of crystalline HoNp3Pt12 at its relaxed geometry, from the Alexandria database.

Values from the calculation:
The calculation puts the calculated density at 18.8 Mg/m³. The calculation puts the density of states at the Fermi level at 42.77 states/eV/cell. As for the formation energy: -0.72 eV per atom.

Cell: 4.132 4.132 16.660 Å, 90.00 90.00 90.00°
Element x y z (fractional)
Ho: 0.000 0.000 0.000
Np: 0.000 0.000 0.247
Np: 0.000 0.000 0.500
Np: 0.000 0.000 0.753
Pt: 0.000 0.500 0.125
Pt: 0.000 0.500 0.374
Pt: 0.000 0.500 0.626
Pt: 0.000 0.500 0.875
Pt: 0.500 0.000 0.125
Pt: 0.500 0.000 0.374
Pt: 0.500 0.000 0.626
Pt: 0.500 0.000 0.875
Pt: 0.500 0.500 0.000
Pt: 0.500 0.500 0.249
Pt: 0.500 0.500 0.500
Pt: 0.500 0.500 0.751

=====

(12)
The following is a PBE calculation of crystalline HoNpPt2 at its relaxed geometry, from the Alexandria database.

Values from the calculation:
The calculation puts the calculated density at 15.5 Mg/m³. The calculation puts the density of states at the Fermi level at 11.16 states/eV/cell. As for the formation energy: -0.77 eV per atom.

Cell: 4.938 4.938 4.938 Å, 60.00 60.00 60.00°
Element x y z (fractional)
Ho: 0.000 0.000 0.000
Np: 0.500 0.500 0.500
Pt: 0.250 0.250 0.250
Pt: 0.750 0.750 0.750